Here is an optimized crystal structure of DyY2Tm8 from the Alexandria database. Energies are from PBE-GGA.

Its space group is C2/m (12). Its size of the total moment is 0.00 μB/f.u. As for the energy above the most stable polymorph in this dataset: 0 meV per atom. The formation energy is 0.111 eV/atom. For the total DFT energy (no corrections), the calculation gives -52.08 eV for the cell shown.

a = 5.3733 Å, b = 8.2528 Å, c = 8.9947 Å
α = 115.10°, β = 107.38°, γ = 90.00°
Closest atoms and distances in Å follow each position.
Fractional coordinates of all 11 atoms:
Tm (0.6649, 0.8922, 0.3299)  1 Dy 3.32, 3 Y 3.39-3.54, 6 Tm 3.42-3.70
Tm (0.6158, 0.4402, 0.2315)  3 Y 3.21-3.54, 1 Dy 3.28, 3 Tm 3.40-3.44
Tm (0.9819, 0.2772, 0.9638)  7 Tm 3.38-3.54, 2 Y 3.46-3.70, 2 Dy 3.63
Y (0.2034, 0.6572, 0.4068)  10 Tm 3.21-3.55
Tm (0.1574, 0.1934, 0.3148)  8 Tm 3.38-3.72, 3 Y 3.44-3.55, 2 Dy 3.64
Tm (0.8426, 0.8066, 0.6852)  8 Tm 3.38-3.72, 3 Y 3.44-3.55, 2 Dy 3.64
Tm (0.3351, 0.1078, 0.6701)  1 Dy 3.32, 3 Y 3.39-3.54, 6 Tm 3.42-3.70
Y (0.7966, 0.3428, 0.5932)  10 Tm 3.21-3.55
Tm (0.0181, 0.7228, 0.0362)  7 Tm 3.38-3.54, 2 Y 3.46-3.70, 2 Dy 3.63
Tm (0.3842, 0.5598, 0.7685)  3 Y 3.21-3.54, 1 Dy 3.28, 3 Tm 3.40-3.44
Dy (0.5000, 0.0000, 0.0000)  12 Tm 3.28-3.64

***

Here is an optimized crystal structure of Sm6ZnRu2Br3 from the Alexandria database. Energies are from PBE-GGA.

Its space group is C2/m (12). Its size of the total moment is 0.00 μB/f.u. For the formation energy from raw total energies, the calculation gives -0.79 eV per atom. For the total DFT energy (no corrections), the calculation gives -62.62 eV for the cell shown.

a = 7.0999 Å, b = 7.0999 Å, c = 8.1360 Å
α = 98.34°, β = 98.34°, γ = 120.00°
Closest atoms and distances in Å follow each position.
Fractional coordinates of all 12 atoms:
Sm (0.7105, 0.7105, 0.1996)  2 Ru 2.77, 1 Zn 2.97
Br (0.5000, 0.5000, 0.5000)  6 Sm 3.21-3.39
Br (0.1675, 0.8325, 0.5000)  6 Sm 3.21-3.39
Sm (0.0667, 0.4227, 0.1999)  2 Ru 2.77, 1 Zn 2.97
Sm (0.2895, 0.2895, 0.8004)  2 Ru 2.77, 1 Zn 2.97
Sm (0.9333, 0.5773, 0.8001)  2 Ru 2.77, 1 Zn 2.97
Ru (0.3334, 0.6666, 0.0000)  6 Sm 2.77
Br (0.8325, 0.1675, 0.5000)  6 Sm 3.21-3.39
Zn (0.0000, 0.0000, 0.0000)  6 Sm 2.97
Sm (0.5773, 0.9333, 0.8001)  2 Ru 2.77, 1 Zn 2.97
Ru (0.6666, 0.3334, 0.0000)  6 Sm 2.77
Sm (0.4227, 0.0667, 0.1999)  2 Ru 2.77, 1 Zn 2.97

***

Here is an optimized crystal structure of CsTeF5 from the Alexandria database. Energies are from PBE-GGA.

Its space group is Pnma (62). Its size of the total moment is 0.00 μB/f.u. As for the energy above the most stable polymorph in this dataset: 0 meV per atom. For the formation energy from raw total energies, the calculation gives -2.45 eV per atom. For the total DFT energy (no corrections), the calculation gives -122.10 eV for the cell shown.

a = 6.5725 Å, b = 8.4473 Å, c = 10.7540 Å
α = 90.00°, β = 90.00°, γ = 90.00°
Closest atoms and distances in Å follow each position.
Fractional coordinates of all 28 atoms:
Te (0.2500, 0.1355, 0.9299)  5 F 1.92-2.03
F (0.0377, 0.5196, 0.3669)  1 Te 2.03
Cs (0.7500, 0.3700, 0.1657)  10 F 3.14-3.47
Cs (0.2500, 0.8700, 0.3343)  10 F 3.14-3.47
F (0.7500, 0.8079, 0.2431)  1 Te 1.92
F (0.4623, 0.5196, 0.3669)  1 Te 2.03
F (0.5377, 0.4804, 0.6331)  1 Te 2.03
F (0.0355, 0.1947, 0.4342)  1 Te 2.01
F (0.2500, 0.3079, 0.2569)  1 Te 1.92
F (0.5377, 0.0196, 0.1331)  1 Te 2.03
F (0.7500, 0.6921, 0.7431)  1 Te 1.92
F (0.4623, 0.9804, 0.8669)  1 Te 2.03
F (0.0377, 0.9804, 0.8669)  1 Te 2.03
Te (0.7500, 0.6355, 0.5701)  5 F 1.92-2.03
F (0.0355, 0.3053, 0.9342)  1 Te 2.01
F (0.5355, 0.8053, 0.5658)  1 Te 2.01
F (0.4645, 0.3053, 0.9342)  1 Te 2.01
Te (0.7500, 0.8645, 0.0701)  5 F 1.92-2.03
Cs (0.2500, 0.6300, 0.8343)  10 F 3.14-3.47
F (0.9623, 0.4804, 0.6331)  1 Te 2.03
F (0.9645, 0.8053, 0.5658)  1 Te 2.01
F (0.2500, 0.1921, 0.7569)  1 Te 1.92
F (0.9645, 0.6947, 0.0658)  1 Te 2.01
F (0.4645, 0.1947, 0.4342)  1 Te 2.01
F (0.5355, 0.6947, 0.0658)  1 Te 2.01
Cs (0.7500, 0.1300, 0.6657)  10 F 3.14-3.47
Te (0.2500, 0.3645, 0.4299)  5 F 1.92-2.03
F (0.9623, 0.0196, 0.1331)  1 Te 2.03

***

Here is an optimized crystal structure of K4PrTh3Te8 from the Alexandria database. Energies are from PBE-GGA.

Its space group is R-3m (166). Its size of the total moment is 0.00 μB/f.u. For the formation energy from raw total energies, the calculation gives -1.23 eV per atom. For the total DFT energy (no corrections), the calculation gives -76.31 eV for the cell shown.

a = 9.0153 Å, b = 9.9270 Å, c = 9.0160 Å
α = 117.04°, β = 120.00°, γ = 90.00°
Closest atoms and distances in Å follow each position.
Fractional coordinates of all 16 atoms:
Th (0.5000, 0.5000, 0.0000)  6 Te 3.18-3.20
Te (0.2600, 0.2801, 0.5199)  3 Th 3.20, 3 K 3.52
K (0.0000, 0.0000, 0.5000)  6 Te 3.52-3.53
Th (0.0000, 0.5000, 0.5000)  6 Te 3.18-3.20
K (0.0000, 0.0000, 0.0000)  6 Te 3.52-3.53
Te (0.2642, 0.2800, 0.0220)  2 Th 3.18-3.19, 1 Pr 3.23, 3 K 3.49-3.53
Th (0.5000, 0.5000, 0.5000)  6 Te 3.18-3.20
Te (0.2422, 0.7200, 0.9780)  2 Th 3.18-3.19, 1 Pr 3.23, 3 K 3.49-3.53
K (0.5000, 0.0000, 0.0000)  6 Te 3.49
Te (0.7358, 0.7200, 0.9780)  2 Th 3.18-3.19, 1 Pr 3.23, 3 K 3.49-3.53
K (0.5000, 0.0000, 0.5000)  6 Te 3.52-3.53
Pr (0.0000, 0.5000, 0.0000)  6 Te 3.23
Te (0.7578, 0.2800, 0.0220)  2 Th 3.18-3.19, 1 Pr 3.23, 3 K 3.49-3.53
Te (0.2422, 0.7200, 0.4844)  2 Th 3.18, 1 Pr 3.23, 3 K 3.49-3.53
Te (0.7578, 0.2800, 0.5156)  2 Th 3.18, 1 Pr 3.23, 3 K 3.49-3.53
Te (0.7400, 0.7199, 0.4801)  3 Th 3.20, 3 K 3.52

***

Here is an optimized crystal structure of SrSc2O from the Alexandria database. Energies are from PBE-GGA.

Its space group is R-3m (166). Its size of the total moment is 0.00 μB/f.u. For the formation energy from raw total energies, the calculation gives -1.13 eV per atom. For the total DFT energy (no corrections), the calculation gives -23.82 eV for the cell shown.

a = 3.3618 Å, b = 3.3618 Å, c = 9.1370 Å
α = 79.40°, β = 79.40°, γ = 60.00°
Closest atoms and distances in Å follow each position.
Fractional coordinates of all 4 atoms:
Sr (0.0000, 0.0000, 0.0000)  2 Sc 3.31, 6 Sr 3.36
Sc (0.8766, 0.8766, 0.3702)  3 O 2.26
O (0.5000, 0.5000, 0.5000)  6 Sc 2.26
Sc (0.1234, 0.1234, 0.6298)  3 O 2.26

***

Here is an optimized crystal structure of LaPrDy3 from the Alexandria database. Energies are from PBE-GGA.

Its space group is Cmmm (65). Its size of the total moment is 0.00 μB/f.u. As for the energy above the most stable polymorph in this dataset: 155 meV per atom. The formation energy is 0.173 eV/atom. For the total DFT energy (no corrections), the calculation gives -45.30 eV for the cell shown.

a = 6.2709 Å, b = 6.2709 Å, c = 11.3489 Å
α = 90.01°, β = 90.01°, γ = 130.37°
Closest atoms and distances in Å follow each position.
Fractional coordinates of all 10 atoms:
Dy (0.0001, 0.0001, 0.3307)  5 Dy 3.50-3.84, 4 La 3.70
Dy (0.6525, 0.3472, 0.8022)  3 Pr 3.29-3.47, 1 La 3.43, 5 Dy 3.44-3.50
Dy (0.3472, 0.6525, 0.8022)  3 Pr 3.29-3.47, 1 La 3.43, 5 Dy 3.44-3.50
Dy (0.3475, 0.6528, 0.1978)  3 Pr 3.29-3.47, 1 La 3.43, 5 Dy 3.44-3.50
La (0.3460, 0.6540, 0.5000)  3 La 3.42-3.51, 6 Dy 3.43-3.70
Dy (0.9999, 0.9999, 0.6693)  5 Dy 3.50-3.84, 4 La 3.70
La (0.6540, 0.3460, 0.5000)  3 La 3.42-3.51, 6 Dy 3.43-3.70
Dy (0.6528, 0.3475, 0.1978)  3 Pr 3.29-3.47, 1 La 3.43, 5 Dy 3.44-3.50
Pr (0.1355, 0.8645, 0.0000)  1 Pr 3.09, 2 Dy 3.29
Pr (0.8645, 0.1355, 0.0000)  1 Pr 3.09, 2 Dy 3.29

***

Here is an optimized crystal structure of LiAcAg2 from the Alexandria database. Energies are from PBE-GGA.

Its space group is R-3m (166). Its size of the total moment is 0.00 μB/f.u. As for the energy above the most stable polymorph in this dataset: 0 meV per atom. The formation energy is -0.248 eV/atom. For the total DFT energy (no corrections), the calculation gives -12.72 eV for the cell shown.

a = 4.6775 Å, b = 4.6775 Å, c = 5.9742 Å
α = 66.95°, β = 66.95°, γ = 60.00°
Closest atoms and distances in Å follow each position.
Fractional coordinates of all 4 atoms:
Ag (0.2073, 0.2073, 0.3782)  3 Li 2.78, 3 Ag 3.00
Ag (0.7927, 0.7927, 0.6218)  3 Li 2.78, 3 Ag 3.00
Ac (0.0000, 0.0000, 0.0000)  8 Ag 3.31-3.37
Li (0.5000, 0.5000, 0.5000)  6 Ag 2.78

***

Here is an optimized crystal structure of ZnPCl from the Alexandria database. Energies are from PBE-GGA.

Its space group is Fmm2 (42). Its size of the total moment is 0.00 μB/f.u. As for the energy above the most stable polymorph in this dataset: 535 meV per atom. For the formation energy from raw total energies, the calculation gives 0.09 eV per atom. For the total DFT energy (no corrections), the calculation gives -8.27 eV for the cell shown.

a = 8.1579 Å, b = 7.7240 Å, c = 3.4214 Å
α = 84.77°, β = 70.54°, γ = 24.69°
Closest atoms and distances in Å follow each position.
Fractional coordinates of all 3 atoms:
Zn (0.3373, 0.3373, 0.6627)  2 Cl 2.31, 2 P 2.45
Cl (0.9506, 0.9506, 0.0494)  2 Zn 2.31
P (0.7121, 0.7121, 0.2879)  2 Zn 2.45

***

Here is an optimized crystal structure of Li2CaTmAu4 from the Alexandria database. Energies are from PBE-GGA.

Its space group is R-3m (166). Its size of the total moment is 0.00 μB/f.u. The formation energy is -0.689 eV/atom. For the total DFT energy (no corrections), the calculation gives -28.92 eV for the cell shown.

a = 4.6515 Å, b = 4.6515 Å, c = 9.1695 Å
α = 75.31°, β = 75.31°, γ = 60.00°
Closest atoms and distances in Å follow each position.
Fractional coordinates of all 8 atoms:
Au (0.6096, 0.6096, 0.1713)  3 Li 2.78, 1 Tm 2.88, 3 Ca 3.08
Li (0.2482, 0.2482, 0.2553)  6 Au 2.78-2.82
Tm (0.5000, 0.5000, 0.5000)  8 Au 2.88-2.97
Li (0.7518, 0.7518, 0.7447)  6 Au 2.78-2.82
Au (0.8820, 0.8820, 0.3540)  3 Li 2.82, 3 Tm 2.97, 1 Ca 3.10, 3 Au 3.13
Ca (0.0000, 0.0000, 0.0000)  8 Au 3.08-3.10
Au (0.1180, 0.1180, 0.6460)  3 Li 2.82, 3 Tm 2.97, 1 Ca 3.10, 3 Au 3.13
Au (0.3904, 0.3904, 0.8287)  3 Li 2.78, 1 Tm 2.88, 3 Ca 3.08

***

Here is an optimized crystal structure of CoOs2AuN from the Alexandria database. Energies are from PBE-GGA.

Its space group is P4/mmm (123). Its size of the total moment is 2.62 μB/f.u. As for the energy above the most stable polymorph in this dataset: 0 meV per atom. For the formation energy from raw total energies, the calculation gives 1.01 eV per atom. For the total DFT energy (no corrections), the calculation gives -36.12 eV for the cell shown.

a = 3.9466 Å, b = 3.9466 Å, c = 4.5313 Å
α = 90.00°, β = 90.00°, γ = 90.00°
Closest atoms and distances in Å follow each position.
Fractional coordinates of all 5 atoms:
Co (0.5000, 0.5000, 0.5000)  4 Au 2.79, 8 Os 3.00
N (0.0000, 0.0000, 0.0000)  4 Os 1.97
Au (0.0000, 0.0000, 0.5000)  2 N 2.27
Os (0.0000, 0.5000, 0.0000)  2 N 1.97
Os (0.5000, 0.0000, 0.0000)  2 N 1.97

***

Here is an optimized crystal structure of Ti3AlS6 from the Alexandria database. Energies are from PBE-GGA.

Its space group is Cmc2_1 (36). Its size of the total moment is 2.56 μB/f.u. For the formation energy from raw total energies, the calculation gives -1.13 eV per atom. For the total DFT energy (no corrections), the calculation gives -127.06 eV for the cell shown.

a = 5.9509 Å, b = 7.8157 Å, c = 7.8157 Å
α = 102.08°, β = 90.00°, γ = 90.00°
Closest atoms and distances in Å follow each position.
Fractional coordinates of all 20 atoms:
S (0.1875, 0.7013, 0.6274)  4 Ti 2.50-2.53
Ti (0.4901, 0.2660, 0.0807)  6 S 2.49-2.67
S (0.1614, 0.0408, 0.9592)  1 Al 2.28
S (0.2148, 0.1088, 0.5457)  1 Al 2.23
Ti (0.9901, 0.0807, 0.2660)  6 S 2.49-2.67
S (0.6614, 0.9592, 0.0408)  1 Al 2.28
Ti (0.8849, 0.5888, 0.4112)  7 S 2.50-2.75
Ti (0.3849, 0.4112, 0.5888)  7 S 2.50-2.75
S (0.1402, 0.7776, 0.2224)  1 Al 2.23, 2 Ti 2.49
S (0.7148, 0.8912, 0.4543)  1 Al 2.23
Al (0.0141, 0.2137, 0.7863)  4 S 2.23-2.28
Ti (0.4901, 0.9193, 0.7340)  6 S 2.49-2.67
S (0.6875, 0.2987, 0.3726)  4 Ti 2.50-2.53
S (0.6875, 0.6274, 0.7013)  4 Ti 2.50-2.53
Ti (0.9901, 0.7340, 0.9193)  6 S 2.49-2.67
Al (0.5141, 0.7863, 0.2137)  4 S 2.23-2.28
S (0.6402, 0.2224, 0.7776)  1 Al 2.23, 2 Ti 2.49
S (0.1875, 0.3726, 0.2987)  4 Ti 2.50-2.53
S (0.2148, 0.4543, 0.8912)  1 Al 2.23
S (0.7148, 0.5457, 0.1088)  1 Al 2.23

***

Here is an optimized crystal structure of WCl from the Alexandria database. Energies are from PBE-GGA.

Its space group is R-3m (166). Its size of the total moment is 0.00 μB/f.u. As for the energy above the most stable polymorph in this dataset: 1157 meV per atom. For the formation energy from raw total energies, the calculation gives 0.91 eV per atom. For the total DFT energy (no corrections), the calculation gives -12.97 eV for the cell shown.

a = 4.5879 Å, b = 4.5879 Å, c = 4.5879 Å
α = 37.09°, β = 37.09°, γ = 37.09°
Closest atoms and distances in Å follow each position.
Fractional coordinates of all 2 atoms:
Cl (0.0000, 0.0000, 0.0000)  6 W 2.72, 6 Cl 2.92
W (0.5000, 0.5000, 0.5000)  6 Cl 2.72, 6 W 2.92